! InPd2Pb (PBE, relaxed); values from VASP
&SYSTEM
  ibrav = 0, nat = 8, ntyp = 3
/
ATOMIC_SPECIES
In 114.82 In.upf
Pd 106.42 Pd.upf
Pb 207.20 Pb.upf
CELL_PARAMETERS angstrom
3.537 0.000 0.000
-0.069 6.534 0.000
-1.502 -0.414 7.502
ATOMIC_POSITIONS crystal
In 0.000 0.000 0.000
In 0.417 0.511 0.889
Pd 0.188 0.069 0.382
Pd 0.260 0.511 0.530
Pd 0.574 0.774 0.188
Pd 0.840 0.244 0.713
Pb 0.648 0.359 0.267
Pb 0.780 0.838 0.585
! E_tot in eV for the cell shown: -35.352
! N(E_F) in states/eV per cell: 3.00
! Formation energy from the elements in eV per atom: -0.21